Crystalline CaAg at its relaxed geometry, computed with GGA-PBEsol.

Properties
Its total magnetic moment is 0.0000 μB per atom. The value obtained for the total energy is -2.9569 eV/atom.

Lattice parameters (Å, degrees): 10.391 9.156 6.318 90.00 90.00 90.00
Fractional coordinates of all 24 atoms:
Ca  0.116  0.250  0.000
Ca  0.116  0.250  0.500
Ca  0.194  0.628  0.250
Ca  0.194  0.872  0.750
Ca  0.380  0.030  0.250
Ca  0.380  0.470  0.750
Ca  0.620  0.530  0.250
Ca  0.620  0.970  0.750
Ca  0.806  0.128  0.250
Ca  0.806  0.372  0.750
Ca  0.884  0.750  0.000
Ca  0.884  0.750  0.500
Ag  0.077  0.547  0.750
Ag  0.077  0.953  0.250
Ag  0.358  0.142  0.750
Ag  0.358  0.358  0.250
Ag  0.437  0.750  0.000
Ag  0.437  0.750  0.500
Ag  0.563  0.250  0.000
Ag  0.563  0.250  0.500
Ag  0.642  0.642  0.750
Ag  0.642  0.858  0.250
Ag  0.923  0.047  0.750
Ag  0.923  0.453  0.250